VASP calculation (PBE-GGA) on Cd2GaAgO4 after structural relaxation.

It has space group Fmm2 (No. 42), with a = 7.3716 Å, b = 7.3738 Å, c = 9.1637 Å, α = 90.00°, β = 90.00° and γ = 90.00°. Symmetry generates all atoms from Cd at (0.2500, 0.2500, 0.0000), Ga at (0.0000, 0.0000, 0.2497), Ag at (0.0000, 0.0000, 0.7513), O at (0.0000, 0.2081, 0.3673) and O at (0.2083, 0.0000, 0.1324).

The energy relative to the elements, uncorrected comes out at -8.73 eV/f.u.

VASP calculation (PBE-GGA) on RePt3 after structural relaxation.

It has space group R-3m (No. 166, hexagonal axes), with a = 2.7891 Å, b = 2.7891 Å, c = 27.4695 Å, α = 90.00°, β = 90.00° and γ = 120.00°. Symmetry generates all atoms from Re at (0.0000, 0.0000, 0.0000), Pt at (0.0000, 0.0000, 0.2532) and Pt at (0.0000, 0.0000, 0.5000).

Its formation energy from the elements is -0.08 eV per atom.

VASP calculation (PBE-GGA) on Rb2AgTeBr6 after structural relaxation.

It has space group I4/mmm (No. 139), with a = 7.9623 Å, b = 7.9623 Å, c = 11.3454 Å, α = 90.00°, β = 90.00° and γ = 90.00°. Symmetry generates all atoms from Rb at (0.0000, 0.5000, 0.2500), Ag at (0.0000, 0.0000, 0.0000), Te at (0.0000, 0.0000, 0.5000), Br at (0.0000, 0.0000, 0.2537) and Br at (0.2447, 0.2447, 0.0000).

The energy relative to the elements, uncorrected comes out at -8.74 eV/f.u.

VASP calculation (PBE-GGA) on NaAuSe2 after structural relaxation.

It has space group Cmcm (No. 63), with a = 4.9637 Å, b = 13.3729 Å, c = 7.3432 Å, α = 90.00°, β = 90.00° and γ = 90.00°. Symmetry generates all atoms from Na at (0.0000, 0.1649, 0.2500), Au at (0.0000, 0.4965, 0.2500) and Se at (0.0000, 0.3723, 0.5052).

The energy relative to the elements, uncorrected comes out at -1.81 eV/f.u.